{"formula": "Al2FeSnO6", "functional": "PBE with a Hubbard U", "state": "relaxed", "magmom_total_mub_per_cell": 4.0, "final_energy_ev_per_cell": -69.08, "volume_a3_per_atom": 10.2, "sg": "P1", "lattice_angstrom": [[5.092, 0.000, 0.000], [-2.540, 4.438, 0.000], [-0.040, -2.911, 4.526]], "species": ["Al", "Al", "Fe", "Sn", "O", "O", "O", "O", "O", "O"], "frac_coords": [[0.000, 0.000, 0.000], [0.499, 0.001, 0.507], [0.280, 0.567, 0.859], [0.789, 0.579, 0.373], [0.117, 0.481, 0.214], [0.218, 0.069, 0.706], [0.366, 0.093, 0.214], [0.633, 0.849, 0.707], [0.720, 0.839, 0.207], [0.855, 0.480, 0.708]]}